An optimized crystal structure of Cs3KCu2As2. Source: the Open Quantum Materials Database, functional GGA-PBE.

a b c (Å): 6.701 6.456 6.744
angles (deg): 90.00 110.66 90.00
Element x y z (fractional)
1 Cs 0.000 0.000 0.000
2 Cs 0.022 0.500 0.354
3 Cs 0.682 0.500 0.689
4 K 0.338 0.000 0.676
5 Cu 0.510 0.249 0.171
6 Cu 0.510 0.751 0.171
7 As 0.285 0.500 0.950
8 As 0.721 0.000 0.408

Summary:
Its total DFT energy (no corrections) is -2.8575 eV per atom. The space group is Pm, No. 6.